A plane-wave DFT calculation with GGA-PBE was carried out for a geometry-optimized CaIn3Pb structure.

The formation energy comes out at 2.637 eV/f.u. The distance to the lowest polymorph of the same formula is 69.9 kJ/mol of atoms. Its size of the total moment is 0.0 μB/cell.

The space group is Pm-3m (No. 221) and the conventional cell measures 5.7968, 5.7968 and 5.7968 Å, with angles of 90.00, 90.00 and 90.00 degrees. The asymmetric unit holds Ca at (0.0000, 0.0000, 0.0000), In at (0.0000, 0.0000, 0.5000) and Pb at (0.5000, 0.5000, 0.5000).